(1)
A plane-wave DFT calculation with PBE was carried out for Mg3In4Ni8 after structural relaxation.

Properties
- Crystal system: hexagonal
- Energy of formation: -0.13 eV per atom

Lattice parameters (Å, degrees): 7.830 8.321 8.321 120.00 90.00 90.00
Fractional positions:
Ni1 0.518 0.000 0.000
Ni2 0.772 0.333 0.667
Ni3 0.588 0.167 0.335
Ni4 0.588 0.665 0.833
Ni5 0.088 0.335 0.167
Ni6 0.262 0.112 0.888
Ni7 0.762 0.888 0.112
Ni8 0.088 0.833 0.167
Ni9 0.762 0.225 0.112
Ni10 0.262 0.775 0.888
Ni11 0.762 0.888 0.775
Ni12 0.588 0.167 0.833
Ni13 0.262 0.112 0.225
Ni14 0.272 0.667 0.333
Ni15 0.018 0.000 0.000
Ni16 0.088 0.833 0.665
In1 0.442 0.820 0.639
In2 0.942 0.639 0.820
In3 0.449 0.333 0.667
In4 0.942 0.180 0.361
In5 0.949 0.667 0.333
In6 0.442 0.361 0.180
In7 0.442 0.820 0.180
In8 0.942 0.180 0.820
Mg1 0.707 0.515 0.031
Mg2 0.207 0.485 0.515
Mg3 0.207 0.485 0.969
Mg4 0.207 0.031 0.515
Mg5 0.707 0.515 0.485
Mg6 0.707 0.969 0.485

=====

(2)
A plane-wave DFT calculation with PBE was carried out for MgIn2Ni9 after structural relaxation.

Properties
- Crystal system: trigonal
- Energy of formation: -0.05 eV per atom

Lattice parameters (Å, degrees): 4.829 4.829 8.447 73.39 73.39 60.00
Fractional positions:
Ni1 0.584 0.080 0.752
Ni2 0.666 0.666 0.001
Ni3 0.920 0.416 0.248
Ni4 0.334 0.334 0.999
Ni5 0.416 0.920 0.248
Ni6 0.500 0.500 0.500
Ni7 0.416 0.416 0.248
Ni8 0.080 0.584 0.752
Ni9 0.584 0.584 0.752
In1 0.138 0.138 0.587
In2 0.862 0.862 0.413
Mg1 0.000 0.000 0.000

=====

(3)
A plane-wave DFT calculation with PBE was carried out for MgIn2Ni3 after structural relaxation.

Properties
- Energy relative to the lowest polymorph listed for this composition: 0.00 eV per formula unit
- Crystal system: orthorhombic
- Energy of formation: -0.15 eV per atom

Lattice parameters (Å, degrees): 3.207 4.340 6.894 108.34 90.00 90.00
Fractional positions:
Ni1 0.500 0.170 0.340
Ni2 0.500 0.830 0.660
Ni3 0.500 0.500 0.000
Mg1 0.000 0.000 0.000
In1 0.000 0.338 0.676
In2 0.000 0.662 0.324

=====

(4)
A plane-wave DFT calculation with PBE was carried out for Mg2In3Ni after structural relaxation.

Properties
- Crystal system: orthorhombic
- Energy of formation: -0.09 eV per atom

Lattice parameters (Å, degrees): 5.880 7.324 7.176 120.69 90.00 90.00
Fractional positions:
Mg1 0.000 0.169 0.339
Mg2 0.000 0.831 0.661
Mg3 0.500 0.169 0.339
Mg4 0.500 0.831 0.661
Ni1 0.250 0.903 0.000
Ni2 0.750 0.097 0.000
In1 0.250 0.487 0.745
In2 0.750 0.513 0.255
In3 0.750 0.258 0.745
In4 0.750 0.746 0.000
In5 0.250 0.254 0.000
In6 0.250 0.742 0.255

=====

(5)
A plane-wave DFT calculation with PBE was carried out for Mg5In4Ni4 after structural relaxation.

Properties
- Crystal system: tetragonal
- Energy of formation: -0.11 eV per atom

Lattice parameters (Å, degrees): 3.982 8.051 8.051 86.49 75.68 75.68
Fractional positions:
Ni1 0.951 0.821 0.278
Ni2 0.049 0.179 0.722
Ni3 0.771 0.278 0.179
Ni4 0.229 0.722 0.821
In1 0.606 0.269 0.518
In2 0.875 0.518 0.731
In3 0.125 0.482 0.269
In4 0.394 0.731 0.482
Mg1 0.000 0.000 0.000
Mg2 0.684 0.933 0.700
Mg3 0.616 0.700 0.067
Mg4 0.316 0.067 0.300
Mg5 0.384 0.300 0.933

=====

(6)
A plane-wave DFT calculation with PBE was carried out for Mg2In2Ni3 after structural relaxation.

Properties
- Crystal system: monoclinic
- Energy of formation: -0.18 eV per atom

Lattice parameters (Å, degrees): 4.385 4.374 7.446 89.93 107.17 120.17
Fractional positions:
Ni1 0.000 0.000 0.000
Ni2 0.493 0.746 0.238
Ni3 0.507 0.254 0.762
In1 0.748 0.875 0.622
In2 0.252 0.125 0.378
Mg1 0.754 0.377 0.131
Mg2 0.246 0.623 0.869